Entry from Alexandria: a relaxed Zr2ZnH2 crystal (PBE).

Lattice parameters (Å, degrees): 4.431 4.431 7.052 90.00 90.00 90.00
Space group I4/mmm (No. 139)
Symmetry-distinct sites (fractional):
Zr 0.000 0.500 0.250 [4 per cell]
Zn 0.000 0.000 0.000 [2 per cell]
H 0.000 0.000 0.294 [4 per cell]

Summary:
The value obtained for the magnetization is 0.00 μB per formula unit. The relative energy among the computed polymorphs comes out at 307 meV per atom. The density comes out at 5.99 g/cm3. The calculation puts the calculated volume at 13.847 A^3/atom. The calculation puts the raw total energy at -5.13 eV/atom. As for the density of states at the Fermi level: 4.0 states/eV/cell.

Entry from Alexandria: a relaxed Zr5Zn2H crystal (PBE).

Lattice parameters (Å, degrees): 5.808 5.820 5.972 117.72 115.54 93.53
Space group P1 (No. 1)
Symmetry-distinct sites (fractional):
Zr 0.000 0.000 0.000 [1 per cell]
Zr 0.010 0.650 0.378 [1 per cell]
Zr 0.417 0.393 0.781 [1 per cell]
Zr 0.520 0.463 0.376 [1 per cell]
Zr 0.535 0.935 0.374 [1 per cell]
Zn 0.494 0.967 0.898 [1 per cell]
Zn 0.975 0.441 0.839 [1 per cell]
H 0.184 0.986 0.382 [1 per cell]

Summary:
The value obtained for the magnetization is 0.00 μB per formula unit. The density comes out at 6.41 g/cm3. The calculation puts the calculated volume at 19.039 A^3/atom. The calculation puts the raw total energy at -6.15 eV/atom. As for the density of states at the Fermi level: 6.8 states/eV/cell.

Entry from Alexandria: a relaxed Zr3ZnH3 crystal (PBE).

Lattice parameters (Å, degrees): 5.738 5.738 5.738 90.00 90.00 90.00
Space group Pm-3n (No. 223)
Symmetry-distinct sites (fractional):
Zr 0.000 0.250 0.500 [6 per cell]
Zn 0.000 0.000 0.000 [2 per cell]
H 0.000 0.500 0.250 [6 per cell]

Summary:
The value obtained for the magnetization is 0.00 μB per formula unit. The relative energy among the computed polymorphs comes out at 0 meV per atom. The density comes out at 6.01 g/cm3. The calculation puts the calculated volume at 13.497 A^3/atom. The calculation puts the raw total energy at -5.62 eV/atom. As for the density of states at the Fermi level: 7.8 states/eV/cell.

Entry from Alexandria: a relaxed Zr3ZnH3 crystal (PBE).

Lattice parameters (Å, degrees): 5.8965 5.8965 19.4429 90.00 90.00 120.00
Space group R-3 (No. 148, hexagonal axes)
Symmetry-distinct sites (fractional):
Zr 0.0021 0.6847 0.4065 [18 per cell]
Zn 0.0000 0.0000 0.1661 [6 per cell]
H 0.0017 0.6554 0.6325 [18 per cell]

Summary:
The value obtained for the magnetization is 0.00 μB per formula unit. The relative energy among the computed polymorphs comes out at 83 meV per atom. The density comes out at 5.82 g/cm3. The calculation puts the calculated volume at 13.939 A^3/atom. The calculation puts the raw total energy at -5.54 eV/atom. As for the density of states at the Fermi level: 25.7 states/eV/cell.

Entry from Alexandria: a relaxed Zr2ZnH2 crystal (PBE).

Lattice parameters (Å, degrees): 3.255 3.255 12.290 90.00 90.00 90.00
Space group I4/mmm (No. 139)
Symmetry-distinct sites (fractional):
Zr 0.000 0.000 0.141 [4 per cell]
Zn 0.000 0.000 0.500 [2 per cell]
H 0.000 0.500 0.250 [4 per cell]

Summary:
The value obtained for the magnetization is 0.00 μB per formula unit. The relative energy among the computed polymorphs comes out at 0 meV per atom. The density comes out at 6.37 g/cm3. The calculation puts the calculated volume at 13.024 A^3/atom. The calculation puts the raw total energy at -5.44 eV/atom. As for the density of states at the Fermi level: 4.2 states/eV/cell.

Entry from Alexandria: a relaxed Zr3H8 crystal (PBE).

Lattice parameters (Å, degrees): 4.713 4.713 4.713 90.00 90.00 90.00
Space group Pm-3m (No. 221)
Symmetry-distinct sites (fractional):
Zr 0.000 0.000 0.500 [3 per cell]
H 0.255 0.255 0.255 [8 per cell]

Summary:
The value obtained for the magnetization is 0.00 μB per formula unit. The density comes out at 4.47 g/cm3. The calculation puts the calculated volume at 9.517 A^3/atom. The calculation puts the raw total energy at -5.15 eV/atom. As for the density of states at the Fermi level: 3.5 states/eV/cell.

Entry from Alexandria: a relaxed Zr4H crystal (PBE).

Lattice parameters (Å, degrees): 4.547 4.547 4.547 90.00 90.00 90.00
Space group Pm-3m (No. 221)
Symmetry-distinct sites (fractional):
Zr 0.000 0.000 0.000 [1 per cell]
Zr 0.000 0.500 0.500 [3 per cell]
H 0.500 0.500 0.500 [1 per cell]

Summary:
The value obtained for the magnetization is 0.00 μB per formula unit. The density comes out at 6.46 g/cm3. The calculation puts the calculated volume at 18.800 A^3/atom. The calculation puts the raw total energy at -7.61 eV/atom. As for the density of states at the Fermi level: 5.9 states/eV/cell.

Entry from Alexandria: a relaxed Zr6H5 crystal (PBE).

Lattice parameters (Å, degrees): 5.473 9.972 5.473 90.00 104.33 90.00
Space group C2/m (No. 12)
Symmetry-distinct sites (fractional):
Zr 0.246 0.000 0.248 [4 per cell]
Zr 0.249 0.166 0.747 [8 per cell]
H 0.000 0.160 0.000 [4 per cell]
H 0.000 0.332 0.500 [4 per cell]
H 0.000 0.500 0.000 [2 per cell]

Summary:
The value obtained for the magnetization is 0.00 μB per formula unit. The density comes out at 6.34 g/cm3. The calculation puts the calculated volume at 13.155 A^3/atom. The calculation puts the raw total energy at -6.49 eV/atom. As for the density of states at the Fermi level: 21.3 states/eV/cell.

Entry from Alexandria: a relaxed Zr3H4 crystal (PBE).

Lattice parameters (Å, degrees): 8.675 8.675 8.675 90.00 90.00 90.00
Space group Fd-3m (No. 227, origin choice 2)
Symmetry-distinct sites (fractional):
Zr 0.000 0.000 0.000 [16 per cell]
Zr 0.125 0.125 0.625 [8 per cell]
H 0.013 0.013 0.237 [32 per cell]

Summary:
The value obtained for the magnetization is 0.00 μB per formula unit. The density comes out at 5.65 g/cm3. The calculation puts the calculated volume at 11.658 A^3/atom. The calculation puts the raw total energy at -6.01 eV/atom. As for the density of states at the Fermi level: 43.9 states/eV/cell.

Entry from Alexandria: a relaxed ZrH2 crystal (PBE).

Lattice parameters (Å, degrees): 3.525 3.525 4.425 90.00 90.00 90.00
Space group I4/mmm (No. 139)
Symmetry-distinct sites (fractional):
Zr 0.000 0.000 0.000 [2 per cell]
H 0.000 0.500 0.250 [4 per cell]

Summary:
The value obtained for the magnetization is 0.00 μB per formula unit. The density comes out at 5.63 g/cm3. The calculation puts the calculated volume at 9.162 A^3/atom. The calculation puts the raw total energy at -5.66 eV/atom. As for the density of states at the Fermi level: 1.6 states/eV/cell.

Entry from Alexandria: a relaxed Zr5H crystal (PBE).

Lattice parameters (Å, degrees): 3.074 15.383 5.245 90.00 90.00 90.00
Space group Cmmm (No. 65)
Symmetry-distinct sites (fractional):
Zr 0.000 0.000 0.000 [2 per cell]
Zr 0.000 0.122 0.500 [4 per cell]
Zr 0.000 0.330 0.000 [4 per cell]
H 0.000 0.500 0.500 [2 per cell]

Summary:
The value obtained for the magnetization is 0.00 μB per formula unit. The density comes out at 6.12 g/cm3. The calculation puts the calculated volume at 20.666 A^3/atom. The calculation puts the raw total energy at -7.36 eV/atom. As for the density of states at the Fermi level: 15.4 states/eV/cell.

Entry from Alexandria: a relaxed Zn3O3He crystal (PBE).

Lattice parameters (Å, degrees): 5.681 5.681 5.681 90.00 90.00 90.00
Space group Pm-3n (No. 223)
Symmetry-distinct sites (fractional):
Zn 0.000 0.250 0.500 [6 per cell]
O 0.000 0.500 0.250 [6 per cell]
He 0.000 0.000 0.000 [2 per cell]

Summary:
The value obtained for the magnetization is 0.00 μB per formula unit. The density comes out at 4.50 g/cm3. The calculation puts the calculated volume at 13.096 A^3/atom. The calculation puts the raw total energy at -3.83 eV/atom. The formation energy (no corrections) comes out at -8.1 eV per formula unit. As for the density of states at the Fermi level: 0.0 states/eV/cell.

Entry from Alexandria: a relaxed Si23He crystal (PBE).

Lattice parameters (Å, degrees): 10.236 10.236 10.236 90.00 90.00 90.00
Space group Pm-3n (No. 223)
Symmetry-distinct sites (fractional):
Si 0.000 0.117 0.308 [24 per cell]
Si 0.000 0.250 0.500 [6 per cell]
Si 0.184 0.184 0.184 [16 per cell]
He 0.000 0.000 0.000 [2 per cell]

Summary:
The value obtained for the magnetization is 0.00 μB per formula unit. The density comes out at 2.01 g/cm3. The calculation puts the calculated volume at 22.344 A^3/atom. The calculation puts the raw total energy at -5.13 eV/atom. The formation energy (no corrections) comes out at 1.6 eV per formula unit.

Entry from Alexandria: a relaxed Hf crystal (PBE).

Lattice parameters (Å, degrees): 11.084 11.084 3.154 90.00 90.00 90.00
Space group I4/m (No. 87)
Symmetry-distinct sites (fractional):
Hf 0.042 0.663 0.000 [8 per cell]
Hf 0.145 0.183 0.500 [8 per cell]

Summary:
The value obtained for the magnetization is 0.00 μB per formula unit. The relative energy among the computed polymorphs comes out at 258 meV per atom. The density comes out at 12.24 g/cm3. The formation energy from the elements comes out at 0.258 eV/atom. The calculation puts the calculated volume at 24.218 A^3/atom. The calculation puts the raw total energy at -9.70 eV/atom. As for the density of states at the Fermi level: 16.4 states/eV/cell.

Entry from Alexandria: a relaxed Hf crystal (PBE).

Lattice parameters (Å, degrees): 8.603 8.603 8.603 90.00 90.00 90.00
Space group I-43m (No. 217)
Symmetry-distinct sites (fractional):
Hf 0.117 0.117 0.883 [8 per cell]
Hf 0.202 0.202 0.202 [8 per cell]

Summary:
The value obtained for the magnetization is 0.00 μB per formula unit. The relative energy among the computed polymorphs comes out at 2097 meV per atom. The density comes out at 7.45 g/cm3. The formation energy from the elements comes out at 2.097 eV/atom. The calculation puts the calculated volume at 39.795 A^3/atom. The calculation puts the raw total energy at -7.86 eV/atom. As for the density of states at the Fermi level: 34.1 states/eV/cell.

Entry from Alexandria: a relaxed Hf crystal (PBE).

Lattice parameters (Å, degrees): 3.1974 3.1974 10.1762 90.00 90.00 120.00
Space group P6_3/mmc (No. 194)
Symmetry-distinct sites (fractional):
Hf 0.0000 0.0000 0.0000 [2 per cell]
Hf 0.3333 0.6667 0.2500 [2 per cell]

Summary:
The value obtained for the magnetization is 0.00 μB per formula unit. The relative energy among the computed polymorphs comes out at 50 meV per atom. The density comes out at 13.16 g/cm3. The formation energy from the elements comes out at 0.050 eV/atom. The calculation puts the calculated volume at 22.524 A^3/atom. The calculation puts the raw total energy at -9.90 eV/atom. As for the density of states at the Fermi level: 5.2 states/eV/cell.

Entry from Alexandria: a relaxed Hf crystal (PBE).

Lattice parameters (Å, degrees): 3.195 15.356 5.486 90.00 90.00 90.00
Space group Fmm2 (No. 42)
Symmetry-distinct sites (fractional):
Hf 0.000 0.000 0.000 [4 per cell]
Hf 0.000 0.164 0.662 [8 per cell]

Summary:
The value obtained for the magnetization is 0.00 μB per formula unit. The relative energy among the computed polymorphs comes out at 74 meV per atom. The density comes out at 13.21 g/cm3. The formation energy from the elements comes out at 0.074 eV/atom. The calculation puts the calculated volume at 22.432 A^3/atom. The calculation puts the raw total energy at -9.88 eV/atom. As for the density of states at the Fermi level: 19.6 states/eV/cell.

Entry from Alexandria: a relaxed Hf crystal (PBE).

Lattice parameters (Å, degrees): 10.4171 10.4171 3.0716 90.00 90.00 120.00
Space group P6_3/m (No. 176)
Symmetry-distinct sites (fractional):
Hf 0.0568 0.2867 0.2500 [6 per cell]
Hf 0.1359 0.6137 0.2500 [6 per cell]

Summary:
The value obtained for the magnetization is 0.00 μB per formula unit. The relative energy among the computed polymorphs comes out at 341 meV per atom. The density comes out at 12.32 g/cm3. The formation energy from the elements comes out at 0.341 eV/atom. The calculation puts the calculated volume at 24.055 A^3/atom. The calculation puts the raw total energy at -9.61 eV/atom. As for the density of states at the Fermi level: 15.1 states/eV/cell.

Entry from Alexandria: a relaxed Hf crystal (PBE).

Lattice parameters (Å, degrees): 5.0535 5.0535 2.7780 90.00 90.00 120.00
Space group P6/mmm (No. 191)
Symmetry-distinct sites (fractional):
Hf 0.3333 0.6667 0.0000 [2 per cell]

Summary:
The value obtained for the magnetization is 0.00 μB per formula unit. The relative energy among the computed polymorphs comes out at 1730 meV per atom. The density comes out at 9.65 g/cm3. The formation energy from the elements comes out at 1.730 eV/atom. The calculation puts the calculated volume at 30.720 A^3/atom. The calculation puts the raw total energy at -8.22 eV/atom. As for the density of states at the Fermi level: 4.5 states/eV/cell.

Entry from Alexandria: a relaxed Hf crystal (PBE).

Lattice parameters (Å, degrees): 7.891 7.891 7.891 90.00 90.00 90.00
Space group Im-3m (No. 229)
Symmetry-distinct sites (fractional):
Hf 0.000 0.250 0.500 [12 per cell]

Summary:
The value obtained for the magnetization is 0.00 μB per formula unit. The relative energy among the computed polymorphs comes out at 2725 meV per atom. The density comes out at 7.24 g/cm3. The formation energy from the elements comes out at 2.725 eV/atom. The calculation puts the calculated volume at 40.952 A^3/atom. The calculation puts the raw total energy at -7.23 eV/atom. As for the density of states at the Fermi level: 21.2 states/eV/cell.